Entry 1:
# KGeIrO6 PBE optimized geometry
# Formation energy without anion corrections, meV per atom: -1098
# Volume, Å³/f.u.: 139.56
# Density of states at the Fermi level, states/eV/atom: 0.431
data_KGeIrO6
_symmetry_space_group_name_H-M 'P 3 1 2'
_symmetry_Int_Tables_number 149
_cell_length_a 5.1677
_cell_length_b 5.1677
_cell_length_c 6.0348
_cell_angle_alpha 90.00
_cell_angle_beta 90.00
_cell_angle_gamma 120.00
loop_
_symmetry_equiv_pos_as_xyz
'x,y,z'
'-y,x-y,z'
'-x+y,-x,z'
'-y,-x,-z'
'-x+y,y,-z'
'x,x-y,-z'
loop_
_atom_site_label
_atom_site_fract_x
_atom_site_fract_y
_atom_site_fract_z
_atom_site_occupancy
K1 0.0000 0.0000 0.0000 1
Ge1 0.3333 0.6667 0.5000 1
Ir1 0.6667 0.3333 0.5000 1
O1 0.4003 0.0009 0.6819 1

---

Entry 2:
# KCd6In PBE optimized geometry
# Energy relative to the elements, eV/atom: -0.0261
# Volume, Å³/f.u.: 228.44
# Energy above the most stable polymorph in this dataset, meV/atom: 0
# Density of states at the Fermi level, states/eV/atom: 0.240
data_KCd6In
_symmetry_space_group_name_H-M 'P 4/m m m'
_symmetry_Int_Tables_number 123
_symmetry_space_group_name_Hall '-P 4 2'
_cell_length_a 4.7940
_cell_length_b 4.7940
_cell_length_c 9.9396
_cell_angle_alpha 90.00
_cell_angle_beta 90.00
_cell_angle_gamma 90.00
loop_
_atom_site_label
_atom_site_fract_x
_atom_site_fract_y
_atom_site_fract_z
_atom_site_occupancy
K1 0.0000 0.0000 0.0000 1
Cd1 0.0000 0.5000 0.3206 1
Cd2 0.5000 0.5000 0.1433 1
In1 0.0000 0.0000 0.5000 1